Compound: ThIr4F2
Source: OQMD
Functional: PBE
Structure: optimized geometry

Calculated values
volume	18.54	Å³ per atom
density	13.29	g/cm3
final energy	-52.2	eV/cell
M_tot	0.0	μB per formula unit

Unit cell a=4.800 b=4.800 c=5.632 alpha=90.00 beta=90.00 gamma=90.00
Positions (direct):
Th  0.000  0.000  0.000
Ir  0.750  0.250  0.558
F  0.500  0.000  0.000
Ir  0.250  0.750  0.558
F  0.000  0.500  0.000
Ir  0.250  0.250  0.442
Ir  0.750  0.750  0.442